A plane-wave DFT calculation with GGA+U was carried out for crystalline Ho3CoO6 at its relaxed geometry.

POSCAR file:
```
Ho3CoO6
1.0
4.413 -5.547 0.000
4.413 5.547 0.000
0.000 0.000 5.427
Ho Co O
6 2 12
direct
0.102 0.898 0.500
0.204 0.412 0.546
0.412 0.204 0.046
0.588 0.796 0.546
0.796 0.588 0.046
0.898 0.102 0.000
0.302 0.698 0.076
0.698 0.302 0.576
0.077 0.607 0.264
0.143 0.177 0.274
0.177 0.143 0.774
0.286 0.714 0.738
0.393 0.923 0.264
0.461 0.539 0.225
0.539 0.461 0.725
0.607 0.077 0.764
0.714 0.286 0.238
0.823 0.857 0.274
0.857 0.823 0.774
0.923 0.393 0.764
```

Values from the calculation:
Its symmetry is Cmc2_1 (36). For the density, the calculation gives 8.1 Mg/m³. Its energy is -0.573 Ry/atom.